An optimized crystal structure of YMg2Co. Source: Alexandria via LeMat-Bulk, functional PBE.

## Properties
space-group type	Cm (8)
total magnetization	0.00	μB/f.u.
DOS at the Fermi energy	3.01	states/eV/f.u.
energy of formation	0.06	eV per atom

Geometry as POSCAR:
```
YMg2Co
1.0
-0.840 -4.484 2.621
1.815 -2.791 4.074
-2.903 0.137 5.144
Co Mg Y
1 2 1
Cartesian
-1.095 -5.218 8.080
0.025 -0.432 0.458
-0.507 -1.914 3.157
-1.315 -3.143 6.064
```